LaTcPd2Cl: optimized geometry, GGA-PBE.

Values from the calculation:
E_form (uncorrected): 203 meV per atom
electronic total energy: -5.302 eV/atom

Cell and atoms, written as POSCAR:
```
LaTcPd2Cl
1.0
4.7538 0.0000 0.0000
0.0000 4.7538 0.0000
0.0000 0.0000 5.7426
La Tc Pd Cl
1 1 2 1
Cartesian
0.0000 0.0000 0.0000
0.0000 0.0000 2.8713
0.0000 2.3769 2.8713
2.3769 0.0000 2.8713
2.3769 2.3769 0.0000
```

=====

NaHg5O6: optimized geometry, GGA-PBE.

Values from the calculation:
E_form (uncorrected): -381 meV per atom
electronic total energy: -3.096 eV/atom

Cell and atoms, written as POSCAR:
```
NaHg5O6
1.0
6.1350 0.0000 0.0000
2.8936 5.4528 0.0000
0.5856 2.8410 5.9250
Na Hg O
1 5 6
Cartesian
0.0000 0.0000 0.0000
1.7396 4.1469 2.9625
3.5724 4.6207 5.8910
4.7825 5.9670 2.9362
4.8317 2.3268 2.9887
6.0418 3.6731 0.0340
1.2880 1.6149 1.3018
2.5496 3.0410 4.4760
4.2783 3.3941 1.2923
5.3359 4.8997 4.6327
7.0646 5.2528 1.4490
8.3262 6.6789 4.6231
```

=====

Pr7Dy3Y: optimized geometry, GGA-PBE.

Values from the calculation:
formation energy from the elements: 0.221 eV per atom
polymorph energy (0 for the lowest one): 0.41 eV per formula unit
electronic total energy: -4.664 eV/atom

Cell and atoms, written as POSCAR:
```
Pr7Dy3Y
1.0
6.4657 -5.7371 0.0000
6.4657 5.7371 0.0000
-2.7498 0.0000 5.2956
Pr Dy Y
7 3 1
Cartesian
0.0000 0.0000 0.0000
3.1193 2.3979 1.6240
1.5923 0.0000 4.2009
7.0622 2.3979 3.6717
3.1193 -2.3979 1.6240
8.5892 0.0000 1.0947
7.0622 -2.3979 3.6717
6.4657 2.3504 0.0000
5.0907 0.0000 2.6478
6.4657 -2.3504 0.0000
-1.3749 0.0000 2.6478
```